# 1
Ce2TlFe PBE optimized geometry; DFT formation energy = -9.2 kJ per mole of atoms
1.0
3.2543 0.0000 0.0000
0.0000 3.2543 0.0000
0.0000 0.0000 8.7121
Ce Tl Fe
2 1 1
Cartesian
0.0000 0.0000 1.7317 Ce
0.0000 0.0000 6.9804 Ce
1.6271 1.6271 4.3560 Tl
1.6271 1.6271 0.0000 Fe



# 2
Ce2TlFe PBE optimized geometry; DFT formation energy = -5.7 kJ per mole of atoms
1.0
3.4789 0.0000 0.0000
0.0000 1.6160 8.3760
0.0000 -1.6160 8.3760
Ce Tl Fe
2 1 1
Cartesian
0.0000 0.0000 0.0000 Ce
0.0000 0.0000 4.9888 Ce
1.7394 0.0000 10.8730 Tl
1.7394 0.0000 15.3004 Fe



# 3
Ce8Tl2Fe PBE optimized geometry; DFT formation energy = -8.8 kJ per mole of atoms
1.0
8.0021 -2.6988 0.0000
8.0021 2.6988 0.0000
-2.2421 0.0000 6.5279
Ce Tl Fe
8 2 1
Cartesian
-0.2536 0.0000 1.6650 Ce
2.3645 0.0000 1.1724 Ce
5.7341 0.0000 0.7602 Ce
5.1103 0.0000 3.7537 Ce
8.6518 0.0000 2.7741 Ce
8.0281 0.0000 5.7676 Ce
11.3976 0.0000 5.3554 Ce
14.0157 0.0000 4.8628 Ce
1.5973 0.0000 4.5061 Tl
12.1648 0.0000 2.0218 Tl
8.0021 0.0000 0.0000 Fe



# 4
Ce2TlFe PBE optimized geometry; DFT formation energy = -5.0 kJ per mole of atoms
1.0
1.8998 1.0969 8.2253
-1.8998 1.0969 8.2253
0.0000 -2.1937 8.2253
Ce Tl Fe
2 1 1
Cartesian
0.0000 0.0000 5.5987 Ce
0.0000 0.0000 19.0772 Ce
0.0000 0.0000 0.0000 Tl
0.0000 0.0000 12.3380 Fe



# 5
Ce2YTlFe PBE optimized geometry; DFT formation energy = -21.5 kJ per mole of atoms
1.0
4.8708 0.0000 0.0000
0.0000 4.8708 0.0000
0.0000 0.0000 5.5487
Ce Y Tl Fe
2 1 1 1
Cartesian
0.0000 2.4354 0.0000 Ce
2.4354 0.0000 0.0000 Ce
0.0000 0.0000 2.7743 Y
2.4354 2.4354 2.7743 Tl
0.0000 0.0000 0.0000 Fe



# 6
Ce2TmFe PBE optimized geometry; DFT formation energy = 10.1 kJ per mole of atoms
1.0
1.8238 1.0530 8.7966
-1.8238 1.0530 8.7966
0.0000 -2.1059 8.7966
Ce Tm Fe
2 1 1
Cartesian
0.0000 0.0000 5.9627 Ce
0.0000 0.0000 20.4270 Ce
0.0000 0.0000 0.0000 Tm
0.0000 0.0000 13.1949 Fe



# 7
Ce2TmFe PBE optimized geometry; DFT formation energy = 11.2 kJ per mole of atoms
1.0
1.8602 1.0740 8.5910
-1.8602 1.0740 8.5910
0.0000 -2.1479 8.5910
Ce Tm Fe
2 1 1
Cartesian
0.0000 0.0000 0.0000 Ce
0.0000 0.0000 5.5653 Ce
0.0000 0.0000 11.3770 Tm
0.0000 0.0000 15.5891 Fe



# 8
Ce2TmFe PBE optimized geometry; DFT formation energy = 12.5 kJ per mole of atoms
1.0
3.4101 0.0000 0.0000
0.0000 3.4101 0.0000
0.0000 0.0000 8.4388
Ce Tm Fe
2 1 1
Cartesian
0.0000 0.0000 1.6377 Ce
0.0000 0.0000 6.8011 Ce
1.7051 1.7051 4.2194 Tm
1.7051 1.7051 0.0000 Fe



# 9
Ce2TmFe9 PBE optimized geometry; DFT formation energy = -7.9 kJ per mole of atoms
1.0
2.5173 1.4534 8.2142
-2.5173 1.4534 8.2142
0.0000 -2.9068 8.2142
Ce Tm Fe
2 1 9
Cartesian
0.0000 0.0000 3.5328 Ce
0.0000 0.0000 21.1096 Ce
0.0000 0.0000 0.0000 Tm
-1.2521 -0.7229 10.1964 Fe
0.0000 0.0000 8.2028 Fe
0.0000 -1.4458 14.4460 Fe
-1.2521 0.7229 14.4460 Fe
0.0000 0.0000 12.3212 Fe
1.2521 -0.7229 10.1964 Fe
0.0000 1.4458 10.1964 Fe
0.0000 0.0000 16.4397 Fe
1.2521 0.7229 14.4460 Fe



# 10
CeTm2Fe2 PBE optimized geometry; DFT formation energy = -7.9 kJ per mole of atoms
1.0
5.0435 -2.9617 0.0000
5.0435 2.9617 0.0000
-0.8779 0.0000 6.9368
Ce Tm Fe
2 4 4
Cartesian
4.3850 2.3849 5.2026 Ce
4.8240 -2.3849 1.7342 Ce
3.1832 0.6867 2.4202 Tm
2.7443 -0.6867 5.8886 Tm
6.4647 0.6867 1.0482 Tm
6.0257 -0.6867 4.5166 Tm
2.6353 2.0004 6.7725 Fe
6.1347 2.0004 3.6327 Fe
3.0743 -2.0004 3.3041 Fe
6.5737 -2.0004 0.1643 Fe



# 11
CeTmFe2 PBE optimized geometry; DFT formation energy = 5.9 kJ per mole of atoms
1.0
3.3274 0.0000 0.0000
0.0000 3.3274 0.0000
0.0000 0.0000 6.6901
Ce Tm Fe
1 1 2
Cartesian
0.0000 0.0000 0.0000 Ce
0.0000 0.0000 3.3451 Tm
1.6637 1.6637 1.5031 Fe
1.6637 1.6637 5.1870 Fe



# 12
Ce2TmFe PBE optimized geometry; DFT formation energy = -7.6 kJ per mole of atoms
1.0
6.7946 0.0000 0.0000
0.0000 9.4274 0.0000
0.0000 0.0000 6.0342
Ce Tm Fe
8 4 4
Cartesian
1.0261 0.6420 0.8537 Ce
1.0261 4.0717 0.8537 Ce
2.3712 5.3557 3.8708 Ce
2.3712 8.7854 3.8708 Ce
4.4234 0.6420 2.1634 Ce
4.4234 4.0717 2.1634 Ce
5.7685 5.3557 5.1804 Ce
5.7685 8.7854 5.1804 Ce
0.4106 2.3569 3.7945 Tm
2.9867 7.0706 0.7774 Tm
3.8079 2.3569 5.2567 Tm
6.3840 7.0706 2.2396 Tm
0.4582 7.0706 5.3440 Fe
2.9391 2.3569 2.3269 Fe
3.8555 7.0706 3.7072 Fe
6.3364 2.3569 0.6901 Fe



no.,density of states at the Fermi level (states/eV/f.u.),M_tot (μB/f.u.)
1,6.52,0.40
2,6.65,0.90
3,28.57,2.83
4,6.53,0.00
5,6.42,0.00
6,7.96,0.00
7,8.82,0.00
8,11.08,0.57
9,13.69,16.70
10,4.41,0.00
11,5.47,1.94
12,6.85,0.00